Sr3LaAs | PBE-GGA | relaxed

Results
The density comes out at 3.53 Mg/m³. For the calculated formation energy, the calculation gives -0.25 eV/atom. The value obtained for the polymorph energy (0 for the lowest one) is 0 meV/atom.

POSCAR file:
```
Sr3LaAs
1.0
6.075 0.000 0.000
0.000 6.075 0.000
0.000 0.000 6.075
Sr La As
3 1 1
direct
0.000 0.500 0.000
0.500 0.000 0.000
0.000 0.000 0.500
0.500 0.500 0.500
0.000 0.000 0.000
```